# TmSi2OsPd | OQMD via LeMat-Bulk | PBE-GGA | optimized geometry
data_TmSi2OsPd
_cell_length_a 4.061
_cell_length_b 4.061
_cell_length_c 10.003
_cell_angle_alpha 90.00
_cell_angle_beta 90.00
_cell_angle_gamma 90.00
_space_group_name_H-M_alt 'I -4 m 2'
_space_group_IT_number 119
_space_group_name_Hall 'I -4 -2'
loop_
_atom_site_label
_atom_site_fract_x
_atom_site_fract_y
_atom_site_fract_z
Tm1 0.000 0.000 0.000
Si1 0.000 0.000 0.381
Os1 0.000 0.500 0.250
Pd1 0.000 0.500 0.750
# V: 16.50 A^3/atom
# Raw total energy: -7.142 eV/atom

# YSi2OsPd | OQMD via LeMat-Bulk | PBE-GGA | optimized geometry
data_YSi2OsPd
_cell_length_a 4.083
_cell_length_b 4.083
_cell_length_c 10.054
_cell_angle_alpha 90.00
_cell_angle_beta 90.00
_cell_angle_gamma 90.00
_space_group_name_H-M_alt 'I -4 m 2'
_space_group_IT_number 119
_space_group_name_Hall 'I -4 -2'
loop_
_atom_site_label
_atom_site_fract_x
_atom_site_fract_y
_atom_site_fract_z
Y1 0.000 0.000 0.000
Si1 0.000 0.000 0.380
Os1 0.000 0.500 0.250
Pd1 0.000 0.500 0.750
# V: 16.76 A^3/atom
# Raw total energy: -7.558 eV/atom

# SnOsPd | OQMD via LeMat-Bulk | PBE-GGA | optimized geometry
data_SnOsPd
_cell_length_a 6.190
_cell_length_b 6.190
_cell_length_c 6.190
_cell_angle_alpha 90.00
_cell_angle_beta 90.00
_cell_angle_gamma 90.00
_space_group_name_H-M_alt 'F -4 3 m'
_space_group_IT_number 216
_space_group_name_Hall 'F -4 2 3'
loop_
_atom_site_label
_atom_site_fract_x
_atom_site_fract_y
_atom_site_fract_z
Sn1 0.000 0.000 0.000
Os1 0.250 0.250 0.750
Pd1 0.000 0.000 0.500
# V: 19.77 A^3/atom
# Offset from the most stable computed form: 0.000 eV/atom
# Raw total energy: -6.401 eV/atom

# Ta2Sn2OsPd | OQMD via LeMat-Bulk | PBE-GGA | optimized geometry
data_Ta2Sn2OsPd
_cell_length_a 6.243
_cell_length_b 6.243
_cell_length_c 12.445
_cell_angle_alpha 90.00
_cell_angle_beta 90.00
_cell_angle_gamma 90.00
_space_group_name_H-M_alt 'I -4 2 d'
_space_group_IT_number 122
_space_group_name_Hall 'I -4 2bw'
loop_
_atom_site_label
_atom_site_fract_x
_atom_site_fract_y
_atom_site_fract_z
Ta1 0.239 0.750 0.125
Sn1 0.246 0.250 0.625
Os1 0.000 0.000 0.000
Pd1 0.000 0.000 0.500
# V: 20.21 A^3/atom
# Raw total energy: -8.240 eV/atom

# TeOsPd | OQMD via LeMat-Bulk | PBE-GGA | optimized geometry
data_TeOsPd
_cell_length_a 6.182
_cell_length_b 6.182
_cell_length_c 6.182
_cell_angle_alpha 90.00
_cell_angle_beta 90.00
_cell_angle_gamma 90.00
_space_group_name_H-M_alt 'F -4 3 m'
_space_group_IT_number 216
_space_group_name_Hall 'F -4 2 3'
loop_
_atom_site_label
_atom_site_fract_x
_atom_site_fract_y
_atom_site_fract_z
Te1 0.000 0.000 0.000
Os1 0.250 0.250 0.750
Pd1 0.000 0.000 0.500
# V: 19.69 A^3/atom
# Offset from the most stable computed form: 0.000 eV/atom
# Raw total energy: -6.197 eV/atom

# ThOsPd | OQMD via LeMat-Bulk | PBE-GGA | optimized geometry
data_ThOsPd
_cell_length_a 6.481
_cell_length_b 6.481
_cell_length_c 6.481
_cell_angle_alpha 90.00
_cell_angle_beta 90.00
_cell_angle_gamma 90.00
_space_group_name_H-M_alt 'F -4 3 m'
_space_group_IT_number 216
_space_group_name_Hall 'F -4 2 3'
loop_
_atom_site_label
_atom_site_fract_x
_atom_site_fract_y
_atom_site_fract_z
Th1 0.000 0.000 0.000
Os1 0.250 0.250 0.750
Pd1 0.000 0.000 0.500
# V: 22.68 A^3/atom
# Offset from the most stable computed form: 0.000 eV/atom
# Raw total energy: -7.877 eV/atom

# TlOs2Pd | OQMD via LeMat-Bulk | PBE-GGA | optimized geometry
data_TlOs2Pd
_cell_length_a 6.413
_cell_length_b 6.413
_cell_length_c 6.413
_cell_angle_alpha 90.00
_cell_angle_beta 90.00
_cell_angle_gamma 90.00
_space_group_name_H-M_alt 'F -4 3 m'
_space_group_IT_number 216
_space_group_name_Hall 'F -4 2 3'
loop_
_atom_site_label
_atom_site_fract_x
_atom_site_fract_y
_atom_site_fract_z
Tl1 0.000 0.000 0.000
Os1 0.000 0.000 0.500
Os2 0.250 0.250 0.750
Pd1 0.250 0.250 0.250
# V: 16.49 A^3/atom
# Raw total energy: -6.662 eV/atom

# TlOsPd | OQMD via LeMat-Bulk | PBE-GGA | optimized geometry
data_TlOsPd
_cell_length_a 6.257
_cell_length_b 6.257
_cell_length_c 6.257
_cell_angle_alpha 90.00
_cell_angle_beta 90.00
_cell_angle_gamma 90.00
_space_group_name_H-M_alt 'F -4 3 m'
_space_group_IT_number 216
_space_group_name_Hall 'F -4 2 3'
loop_
_atom_site_label
_atom_site_fract_x
_atom_site_fract_y
_atom_site_fract_z
Tl1 0.000 0.000 0.000
Os1 0.250 0.250 0.750
Pd1 0.250 0.250 0.250
# V: 20.42 A^3/atom
# Raw total energy: -5.017 eV/atom